# AsOsRh2

A relaxed structure of AsOsRh2 (PBE, the Alexandria database).

Properties
- crystal system = tetragonal
- DFT total energy (eV/atom) = -7.48
- DOS(E_F) (states/eV/cell) = 3.4
- SG = I-4m2 (119)
- total magnetic moment (μB per formula unit) = 0.00

The structure in POSCAR format:
```
AsOsRh2
1.0
-2.007 2.007 3.588
2.007 -2.007 3.588
2.007 2.007 -3.588
As Os Rh
1 1 2
Direct
0.000 0.000 0.000 As
0.250 0.750 0.500 Os
0.500 0.500 0.000 Rh
0.750 0.250 0.500 Rh
```

---

# Rh3Au

A relaxed structure of Rh3Au (PBE, the Alexandria database).

Properties
- crystal system = orthorhombic
- DFT total energy (eV/atom) = -6.15
- DOS(E_F) (states/eV/cell) = 28.1
- SG = Pnma (62)
- total magnetic moment (μB per formula unit) = 0.00

The structure in POSCAR format:
```
Rh3Au
1.0
4.808 0.000 0.000
0.000 9.094 0.000
0.000 0.000 5.543
Rh Au
12 4
Direct
0.080 0.250 0.135 Rh
0.241 0.505 0.874 Rh
0.241 0.995 0.874 Rh
0.259 0.005 0.374 Rh
0.259 0.495 0.374 Rh
0.420 0.750 0.635 Rh
0.580 0.250 0.365 Rh
0.741 0.505 0.626 Rh
0.741 0.995 0.626 Rh
0.759 0.005 0.126 Rh
0.759 0.495 0.126 Rh
0.920 0.750 0.865 Rh
0.074 0.250 0.626 Au
0.426 0.750 0.126 Au
0.574 0.250 0.874 Au
0.926 0.750 0.374 Au
```